First-principles (GGA-PBEsol) data for a geometry-optimized MnPOs structure, as listed in the Alexandria database.

The structure in extended XYZ format:
```
3
Lattice="2.7230 0.0000 0.0000 0.0000 3.8995 0.0000 0.0000 -1.9497 3.3770" Properties=species:S:1:pos:R:3 pbc="T T T"
P 0.7695 1.9497 1.1257
Mn 0.3148 0.0000 0.0000
Os 1.6387 0.0000 2.2514
```

Summary:
* total DFT energy (no corrections): -9.322 eV per atom
* magnetization: 0.00 μB/f.u.